The following is a PBE calculation of an optimized crystal structure of Pm2NdTm12, from Alexandria.

Summary:
Total magnetic moment: 0.00 μB per formula unit
Crystal system: monoclinic
N(E_F): 1.644 states/eV per atom
Symmetry: C2/m, No. 12
Formation enthalpy at 0 K: 0.11 eV/atom

CIF file:
```
data_Pm2NdTm12
_chemical_formula_sum 'Pm4 Nd2 Tm24'
_cell_length_a 6.5968
_cell_length_b 6.5968
_cell_length_c 23.9741
_cell_angle_alpha 92.26
_cell_angle_beta 92.26
_cell_angle_gamma 115.23
_space_group_name_H-M_alt 'P 1'
_space_group_IT_number 1
_space_group_name_Hall 'P 1'
loop_
_atom_site_label
_atom_site_type_symbol
_atom_site_fract_x
_atom_site_fract_y
_atom_site_fract_z
Pm1 Pm 0.0699 0.0699 0.2818
Pm2 Pm 0.4302 0.4302 0.7175
Pm3 Pm 0.5698 0.5698 0.2825
Pm4 Pm 0.9301 0.9301 0.7182
Nd1 Nd 0.2493 0.2493 0.0000
Nd2 Nd 0.7507 0.7507 0.0000
Tm1 Tm 0.0340 0.0340 0.1369
Tm2 Tm 0.0481 0.5481 0.1928
Tm3 Tm 0.0821 0.5823 0.3310
Tm4 Tm 0.1395 0.6383 0.5547
Tm5 Tm 0.1425 0.1425 0.5716
Tm6 Tm 0.2335 0.7321 0.9321
Tm7 Tm 0.2679 0.7665 0.0679
Tm8 Tm 0.3565 0.3565 0.4289
Tm9 Tm 0.3617 0.8605 0.4453
Tm10 Tm 0.4177 0.9179 0.6690
Tm11 Tm 0.4519 0.9519 0.8072
Tm12 Tm 0.4658 0.4658 0.8623
Tm13 Tm 0.5342 0.5342 0.1377
Tm14 Tm 0.5481 0.0481 0.1928
Tm15 Tm 0.5823 0.0821 0.3310
Tm16 Tm 0.6383 0.1395 0.5547
Tm17 Tm 0.6435 0.6435 0.5711
Tm18 Tm 0.7321 0.2335 0.9321
Tm19 Tm 0.7665 0.2679 0.0679
Tm20 Tm 0.8575 0.8575 0.4284
Tm21 Tm 0.8605 0.3617 0.4453
Tm22 Tm 0.9179 0.4177 0.6690
Tm23 Tm 0.9519 0.4519 0.8072
Tm24 Tm 0.9660 0.9660 0.8631
```

***

The following is a PBE calculation of an optimized crystal structure of Pm8Nd3Tm2, from Alexandria.

Summary:
Total magnetic moment: 0.00 μB per formula unit
Crystal system: monoclinic
N(E_F): 1.736 states/eV per atom
Symmetry: C2/m, No. 12
Formation enthalpy at 0 K: 0.16 eV/atom

CIF file:
```
data_Pm8Nd3Tm2
_chemical_formula_sum 'Pm8 Nd3 Tm2'
_cell_length_a 8.8686
_cell_length_b 8.8686
_cell_length_c 6.2208
_cell_angle_alpha 107.23
_cell_angle_beta 107.23
_cell_angle_gamma 83.67
_space_group_name_H-M_alt 'P 1'
_space_group_IT_number 1
_space_group_name_Hall 'P 1'
loop_
_atom_site_label
_atom_site_type_symbol
_atom_site_fract_x
_atom_site_fract_y
_atom_site_fract_z
Pm1 Pm 0.0553 0.0553 0.2863
Pm2 Pm 0.0693 0.5827 0.8263
Pm3 Pm 0.3448 0.3448 0.4504
Pm4 Pm 0.4173 0.9307 0.1737
Pm5 Pm 0.5827 0.0693 0.8263
Pm6 Pm 0.6552 0.6552 0.5496
Pm7 Pm 0.9307 0.4173 0.1737
Pm8 Pm 0.9447 0.9447 0.7137
Nd1 Nd 0.2568 0.7432 0.5000
Nd2 Nd 0.5000 0.5000 0.0000
Nd3 Nd 0.7432 0.2568 0.5000
Tm1 Tm 0.2120 0.2120 0.8572
Tm2 Tm 0.7880 0.7880 0.1428
```

***

The following is a PBE calculation of an optimized crystal structure of Pm2Nd3Tm6, from Alexandria.

Summary:
Total magnetic moment: 0.00 μB per formula unit
Crystal system: tetragonal
N(E_F): 1.547 states/eV per atom
Symmetry: I4/mmm, No. 139
Formation enthalpy at 0 K: 0.26 eV/atom

CIF file:
```
data_Pm2Nd3Tm6
_chemical_formula_sum 'Pm2 Nd3 Tm6'
_cell_length_a 16.8624
_cell_length_b 16.8624
_cell_length_c 16.8624
_cell_angle_alpha 163.80
_cell_angle_beta 163.80
_cell_angle_gamma 22.99
_space_group_name_H-M_alt 'P 1'
_space_group_IT_number 1
_space_group_name_Hall 'P 1'
loop_
_atom_site_label
_atom_site_type_symbol
_atom_site_fract_x
_atom_site_fract_y
_atom_site_fract_z
Pm1 Pm 0.0464 0.0464 0.0000
Pm2 Pm 0.9536 0.9536 0.0000
Nd1 Nd 0.2951 0.2951 0.0000
Nd2 Nd 0.5000 0.5000 0.0000
Nd3 Nd 0.7049 0.7049 0.0000
Tm1 Tm 0.1209 0.6209 0.5000
Tm2 Tm 0.1912 0.1912 0.0000
Tm3 Tm 0.3791 0.8791 0.5000
Tm4 Tm 0.6209 0.1209 0.5000
Tm5 Tm 0.8088 0.8088 0.0000
Tm6 Tm 0.8791 0.3791 0.5000
```

***

The following is a PBE calculation of an optimized crystal structure of Pm2Nd6Tm3, from Alexandria.

Summary:
Total magnetic moment: 0.00 μB per formula unit
Crystal system: triclinic
N(E_F): 1.330 states/eV per atom
Symmetry: P-1, No. 2
Formation enthalpy at 0 K: 0.02 eV/atom

CIF file:
```
data_Pm2Nd6Tm3
_chemical_formula_sum 'Pm2 Nd6 Tm3'
_cell_length_a 6.2705
_cell_length_b 8.0765
_cell_length_c 8.1163
_cell_angle_alpha 107.48
_cell_angle_beta 97.32
_cell_angle_gamma 104.86
_space_group_name_H-M_alt 'P 1'
_space_group_IT_number 1
_space_group_name_Hall 'P 1'
loop_
_atom_site_label
_atom_site_type_symbol
_atom_site_fract_x
_atom_site_fract_y
_atom_site_fract_z
Pm1 Pm 0.2294 0.4105 0.0484
Pm2 Pm 0.7706 0.5895 0.9516
Nd1 Nd 0.0463 0.6828 0.4102
Nd2 Nd 0.1364 0.0458 0.2318
Nd3 Nd 0.3200 0.7728 0.8648
Nd4 Nd 0.6800 0.2272 0.1352
Nd5 Nd 0.8636 0.9542 0.7682
Nd6 Nd 0.9537 0.3172 0.5898
Tm1 Tm 0.4101 0.1373 0.6803
Tm2 Tm 0.5000 0.5000 0.5000
Tm3 Tm 0.5899 0.8627 0.3197
```

***

The following is a PBE calculation of an optimized crystal structure of Pm7Nd2Tm4, from Alexandria.

Summary:
Total magnetic moment: 0.00 μB per formula unit
Crystal system: monoclinic
N(E_F): 1.309 states/eV per atom
Symmetry: C2/m, No. 12
Formation enthalpy at 0 K: 0.19 eV/atom

CIF file:
```
data_Pm7Nd2Tm4
_chemical_formula_sum 'Pm7 Nd2 Tm4'
_cell_length_a 6.1779
_cell_length_b 6.1779
_cell_length_c 13.1670
_cell_angle_alpha 90.08
_cell_angle_beta 90.08
_cell_angle_gamma 119.76
_space_group_name_H-M_alt 'P 1'
_space_group_IT_number 1
_space_group_name_Hall 'P 1'
loop_
_atom_site_label
_atom_site_type_symbol
_atom_site_fract_x
_atom_site_fract_y
_atom_site_fract_z
Pm1 Pm 0.0000 0.0000 0.0000
Pm2 Pm 0.0028 0.3717 0.2268
Pm3 Pm 0.3688 0.3688 0.7767
Pm4 Pm 0.3717 0.0028 0.2268
Pm5 Pm 0.6283 0.9972 0.7732
Pm6 Pm 0.6312 0.6312 0.2233
Pm7 Pm 0.9972 0.6283 0.7732
Nd1 Nd 0.3322 0.6678 0.0000
Nd2 Nd 0.6678 0.3322 0.0000
Tm1 Tm 0.0096 0.0096 0.6066
Tm2 Tm 0.3337 0.6663 0.5000
Tm3 Tm 0.6663 0.3337 0.5000
Tm4 Tm 0.9904 0.9904 0.3934
```

***

The following is a PBE calculation of an optimized crystal structure of Pm4Nd5Tm3, from Alexandria.

Summary:
Total magnetic moment: 0.00 μB per formula unit
Crystal system: monoclinic
N(E_F): 1.599 states/eV per atom
Symmetry: C2/m, No. 12
Formation enthalpy at 0 K: 0.21 eV/atom

CIF file:
```
data_Pm4Nd5Tm3
_chemical_formula_sum 'Pm4 Nd5 Tm3'
_cell_length_a 8.7390
_cell_length_b 8.7390
_cell_length_c 9.4258
_cell_angle_alpha 114.97
_cell_angle_beta 114.97
_cell_angle_gamma 40.01
_space_group_name_H-M_alt 'P 1'
_space_group_IT_number 1
_space_group_name_Hall 'P 1'
loop_
_atom_site_label
_atom_site_type_symbol
_atom_site_fract_x
_atom_site_fract_y
_atom_site_fract_z
Pm1 Pm 0.0821 0.0821 0.4411
Pm2 Pm 0.2182 0.2182 0.8784
Pm3 Pm 0.7818 0.7818 0.1216
Pm4 Pm 0.9179 0.9179 0.5589
Nd1 Nd 0.0000 0.0000 0.0000
Nd2 Nd 0.3272 0.3272 0.6132
Nd3 Nd 0.4252 0.4252 0.2965
Nd4 Nd 0.5748 0.5748 0.7035
Nd5 Nd 0.6728 0.6728 0.3868
Tm1 Tm 0.2091 0.2091 0.2281
Tm2 Tm 0.5000 0.5000 0.0000
Tm3 Tm 0.7909 0.7909 0.7719
```